An optimized crystal structure of K2Al2Sb3, computed with PBE.

Cell and atoms, written as extended XYZ:
```
56
Lattice="14.936 0.000 0.000 0.000 7.323 0.000 -0.160 0.000 16.890" Properties=species:S:1:pos:R:3 pbc="T T T"
K 0.827 0.404 1.779
K 0.747 3.257 10.225
K 2.239 4.015 0.303
K 2.159 6.970 8.748
K 5.356 0.216 0.119
K 5.275 3.445 8.565
K 6.335 3.894 1.856
K 6.254 7.090 10.302
K 8.521 0.233 6.589
K 8.441 3.429 15.034
K 9.500 3.878 8.326
K 9.419 7.107 16.771
K 12.616 0.353 8.143
K 12.536 3.308 16.588
K 14.028 4.066 6.666
K 13.948 6.919 15.111
Al 1.377 5.411 4.409
Al 1.297 5.574 12.854
Al 2.749 1.581 5.514
Al 2.669 2.080 13.959
Al 4.665 5.372 5.420
Al 4.585 5.613 13.866
Al 6.018 1.537 4.546
Al 5.938 2.124 12.991
Al 8.837 5.199 3.899
Al 8.757 5.786 12.345
Al 10.191 1.710 3.025
Al 10.110 1.951 11.470
Al 12.106 5.243 2.931
Al 12.026 5.742 11.376
Al 13.479 1.749 4.037
Al 13.398 1.912 12.482
Sb 0.320 0.313 5.623
Sb 0.240 3.349 14.069
Sb 2.500 4.072 6.525
Sb 2.420 6.912 14.970
Sb 3.587 4.948 11.400
Sb 3.668 6.036 2.955
Sb 3.758 1.627 3.003
Sb 3.678 2.035 11.449
Sb 4.946 0.366 6.771
Sb 4.866 3.296 15.217
Sb 6.990 3.924 5.476
Sb 6.910 7.060 13.922
Sb 7.865 0.263 2.969
Sb 7.785 3.399 11.414
Sb 9.909 4.027 1.674
Sb 9.829 6.957 10.119
Sb 11.097 5.288 5.442
Sb 11.017 5.696 13.887
Sb 11.107 1.287 13.936
Sb 11.188 2.375 5.491
Sb 12.356 0.411 1.920
Sb 12.275 3.251 10.365
Sb 14.535 3.974 2.822
Sb 14.455 7.010 11.267
```

Summary:
E_form (uncorrected): -36.21 kJ/mol of atoms
Excess energy over the best structure of this formula in the dataset: 0 meV per atom
Spin magnetization: 0.000 μB per formula unit

=====

An optimized crystal structure of RbScTeI2, computed with PBE.

Cell and atoms, written as extended XYZ:
```
5
Lattice="5.961 0.000 0.000 0.000 5.961 0.000 0.000 0.000 5.593" Properties=species:S:1:pos:R:3 pbc="T T T"
Rb 0.000 0.000 0.000
Sc 2.980 2.980 2.796
Te 2.980 2.980 0.000
I 0.000 2.980 2.796
I 2.980 0.000 2.796
```

Summary:
E_form (uncorrected): -113.25 kJ/mol of atoms
Excess energy over the best structure of this formula in the dataset: 0 meV per atom
Spin magnetization: 0.000 μB per formula unit